*a*
Below is crystalline CoC2 at its relaxed geometry, with properties calculated at the PBE level.

- V (Å³ per atom) = 9.30
- space group = P4_2/mnm

Cell: 4.5397 4.5397 2.7069 Å, 90.00 90.00 90.00°
Fractional coordinates of all 6 atoms:
Co 0.0000 0.0000 0.0000
Co 0.5000 0.5000 0.5000
C 0.2074 0.2074 0.5000
C 0.2926 0.7074 0.0000
C 0.7074 0.2926 0.0000
C 0.7926 0.7926 0.5000

*b*
Below is crystalline CoC2 at its relaxed geometry, with properties calculated at the PBE level.

- V (Å³ per atom) = 8.01
- space group = I4_1/amd

Cell: 7.4333 7.4333 7.4333 Å, 160.00 160.00 28.43°
Fractional coordinates of all 6 atoms:
Co 0.3750 0.6250 0.7500
Co 0.6250 0.3750 0.2500
C 0.0248 0.2748 0.7500
C 0.2748 0.0248 0.2500
C 0.7252 0.9752 0.7500
C 0.9752 0.7252 0.2500

The least stable of the structures above is *a*, whereas *b* is the most stable.